DFT (SCAN) results for a crystal of FeTcI2O relaxed with PBEsol.

Cell lengths 5.4306, 5.4306, 3.6702 Å; angles 90.00, 90.00, 90.00 degrees
Atoms (fractional coordinates):
1 Fe 0.0000 0.0000 0.0000
2 Tc 0.5000 0.5000 0.5000
3 I 0.0000 0.5000 0.5000
4 I 0.5000 0.0000 0.5000
5 O 0.5000 0.5000 0.0000

Properties
Uncorrected energy: -132.41 eV/cell
Calculated volume: 21.648 Å³/atom
Raw formation energy: 0.10 eV/atom